Density functional theory data (GGA-PBE) for a geometry-optimized La3Y7Tm2 structure.

CIF file:
```
data_La3Y7Tm2
_cell_length_a 3.666
_cell_length_b 5.651
_cell_length_c 20.608
_cell_angle_alpha 90.00
_cell_angle_beta 95.11
_cell_angle_gamma 90.00
_symmetry_space_group_name_H-M 'P 1 2/m 1'
_symmetry_Int_Tables_number 10
loop_
_symmetry_equiv_pos_as_xyz
'x,y,z'
'-x,-y,-z'
'-x,y,-z'
'x,-y,z'
loop_
_atom_site_label
_atom_site_fract_x
_atom_site_fract_y
_atom_site_fract_z
_atom_site_occupancy
La1 0.000 0.000 0.000 1
La2 0.329 0.500 0.660 1
Y1 0.086 0.500 0.171 1
Y2 0.215 0.000 0.431 1
Y3 0.431 0.000 0.864 1
Y4 0.500 0.500 0.000 1
Tm1 0.138 0.000 0.274 1
```

The calculation puts the total moment at 0.1 μB per formula unit.

***

Density functional theory data (GGA-PBE) for a geometry-optimized LaY2Tm structure.

CIF file:
```
data_LaY2Tm
_cell_length_a 3.6052
_cell_length_b 3.6052
_cell_length_c 35.0788
_cell_angle_alpha 90.00
_cell_angle_beta 90.00
_cell_angle_gamma 120.00
_symmetry_space_group_name_H-M 'R 3 m'
_symmetry_Int_Tables_number 160
_symmetry_space_group_name_Hall 'R 3 -2"'
loop_
_atom_site_label
_atom_site_fract_x
_atom_site_fract_y
_atom_site_fract_z
_atom_site_occupancy
La1 0.0000 0.0000 0.0000 1
Y1 0.0000 0.0000 0.2476 1
Y2 0.0000 0.0000 0.4202 1
Tm1 0.0000 0.0000 0.8342 1
```

The calculation puts the total moment at 0.0 μB per formula unit.

***

Density functional theory data (GGA-PBE) for a geometry-optimized La3Y4Tm2 structure.

CIF file:
```
data_La3Y4Tm2
_cell_length_a 16.512
_cell_length_b 11.859
_cell_length_c 6.165
_cell_angle_alpha 90.00
_cell_angle_beta 97.62
_cell_angle_gamma 90.00
_symmetry_space_group_name_H-M 'C 1 2/c 1'
_symmetry_Int_Tables_number 15
loop_
_symmetry_equiv_pos_as_xyz
'x,y,z'
'-x,-y,-z'
'-x,y,-z+1/2'
'x,-y,z+1/2'
'x+1/2,y+1/2,z'
'-x+1/2,-y+1/2,-z'
'-x+1/2,y+1/2,-z+1/2'
'x+1/2,-y+1/2,z+1/2'
loop_
_atom_site_label
_atom_site_fract_x
_atom_site_fract_y
_atom_site_fract_z
_atom_site_occupancy
La1 0.000 0.121 0.250 1
La2 0.168 0.367 0.083 1
Y1 0.056 0.375 0.532 1
Y2 0.220 0.121 0.370 1
Tm1 0.110 0.127 0.802 1
```

The calculation puts the total moment at 0.0 μB per formula unit.

***

Density functional theory data (GGA-PBE) for a geometry-optimized LaY4Tm6 structure.

CIF file:
```
data_LaY4Tm6
_cell_length_a 7.719
_cell_length_b 7.719
_cell_length_c 12.871
_cell_angle_alpha 90.00
_cell_angle_beta 90.00
_cell_angle_gamma 90.00
_symmetry_space_group_name_H-M 'I -4 2 m'
_symmetry_Int_Tables_number 121
_symmetry_space_group_name_Hall 'I -4 2'
loop_
_atom_site_label
_atom_site_fract_x
_atom_site_fract_y
_atom_site_fract_z
_atom_site_occupancy
La1 0.000 0.000 0.000 1
Y1 0.167 0.167 0.424 1
Tm1 0.000 0.500 0.000 1
Tm2 0.247 0.247 0.684 1
```

The calculation puts the total moment at 0.0 μB per formula unit.

***

Density functional theory data (GGA-PBE) for a geometry-optimized La2Y3Tm4 structure.

CIF file:
```
data_La2Y3Tm4
_cell_length_a 11.809
_cell_length_b 5.667
_cell_length_c 9.103
_cell_angle_alpha 90.00
_cell_angle_beta 104.53
_cell_angle_gamma 90.00
_symmetry_space_group_name_H-M 'C 1 2/m 1'
_symmetry_Int_Tables_number 12
loop_
_symmetry_equiv_pos_as_xyz
'x,y,z'
'-x,-y,-z'
'-x,y,-z'
'x,-y,z'
'x+1/2,y+1/2,z'
'-x+1/2,-y+1/2,-z'
'-x+1/2,y+1/2,-z'
'x+1/2,-y+1/2,z'
loop_
_atom_site_label
_atom_site_fract_x
_atom_site_fract_y
_atom_site_fract_z
_atom_site_occupancy
La1 0.072 0.000 0.290 1
Y1 0.000 0.500 0.000 1
Y2 0.111 0.500 0.684 1
Tm1 0.182 0.000 0.965 1
Tm2 0.229 0.500 0.363 1
```

The calculation puts the total moment at 0.0 μB per formula unit.

***

Density functional theory data (GGA-PBE) for a geometry-optimized La5YTm structure.

CIF file:
```
data_La5YTm
_cell_length_a 16.658
_cell_length_b 6.744
_cell_length_c 11.049
_cell_angle_alpha 90.00
_cell_angle_beta 126.48
_cell_angle_gamma 90.00
_symmetry_space_group_name_H-M 'C 1 2/c 1'
_symmetry_Int_Tables_number 15
loop_
_symmetry_equiv_pos_as_xyz
'x,y,z'
'-x,-y,-z'
'-x,y,-z+1/2'
'x,-y,z+1/2'
'x+1/2,y+1/2,z'
'-x+1/2,-y+1/2,-z'
'-x+1/2,y+1/2,-z+1/2'
'x+1/2,-y+1/2,z+1/2'
loop_
_atom_site_label
_atom_site_fract_x
_atom_site_fract_y
_atom_site_fract_z
_atom_site_occupancy
La1 0.000 0.011 0.250 1
La2 0.091 0.251 0.593 1
La3 0.177 0.254 0.094 1
Y1 0.000 0.486 0.250 1
Tm1 0.250 0.250 0.500 1
```

The calculation puts the total moment at 0.0 μB per formula unit.

***

Density functional theory data (GGA-PBE) for a geometry-optimized La4Y3Tm structure.

CIF file:
```
data_La4Y3Tm
_cell_length_a 24.402
_cell_length_b 3.670
_cell_length_c 6.313
_cell_angle_alpha 90.00
_cell_angle_beta 104.78
_cell_angle_gamma 90.00
_symmetry_space_group_name_H-M 'C 1 2/m 1'
_symmetry_Int_Tables_number 12
loop_
_symmetry_equiv_pos_as_xyz
'x,y,z'
'-x,-y,-z'
'-x,y,-z'
'x,-y,z'
'x+1/2,y+1/2,z'
'-x+1/2,-y+1/2,-z'
'-x+1/2,y+1/2,-z'
'x+1/2,-y+1/2,z'
loop_
_atom_site_label
_atom_site_fract_x
_atom_site_fract_y
_atom_site_fract_z
_atom_site_occupancy
La1 0.124 0.000 0.456 1
La2 0.248 0.000 0.245 1
Y1 0.000 0.500 0.500 1
Y2 0.122 0.500 0.954 1
Tm1 0.000 0.000 0.000 1
```

The calculation puts the total moment at 0.0 μB per formula unit.

***

Density functional theory data (GGA-PBE) for a geometry-optimized La7YTm3 structure.

CIF file:
```
data_La7YTm3
_cell_length_a 7.048
_cell_length_b 9.991
_cell_length_c 12.950
_cell_angle_alpha 111.82
_cell_angle_beta 90.16
_cell_angle_gamma 110.55
_symmetry_space_group_name_H-M 'P -1'
_symmetry_Int_Tables_number 2
loop_
_symmetry_equiv_pos_as_xyz
'x,y,z'
'-x,-y,-z'
loop_
_atom_site_label
_atom_site_fract_x
_atom_site_fract_y
_atom_site_fract_z
_atom_site_occupancy
La1 0.067 0.166 0.476 1
La2 0.069 0.153 0.966 1
La3 0.133 0.501 0.751 1
La4 0.337 0.245 0.230 1
La5 0.400 0.836 0.026 1
La6 0.413 0.248 0.730 1
La7 0.416 0.849 0.535 1
Y1 0.000 0.500 0.000 1
Y2 0.000 0.500 0.500 1
Tm1 0.162 0.866 0.271 1
Tm2 0.200 0.867 0.770 1
Tm3 0.500 0.500 0.000 1
Tm4 0.500 0.500 0.500 1
```

The calculation puts the total moment at 0.0 μB per formula unit.

***

Density functional theory data (GGA-PBE) for a geometry-optimized LaY4Tm5 structure.

CIF file:
```
data_LaY4Tm5
_cell_length_a 10.148
_cell_length_b 10.148
_cell_length_c 6.334
_cell_angle_alpha 90.00
_cell_angle_beta 90.00
_cell_angle_gamma 90.00
_symmetry_space_group_name_H-M 'I 4'
_symmetry_Int_Tables_number 79
loop_
_symmetry_equiv_pos_as_xyz
'x,y,z'
'-y,x,z'
'-x,-y,z'
'y,-x,z'
'x+1/2,y+1/2,z+1/2'
'-y+1/2,x+1/2,z+1/2'
'-x+1/2,-y+1/2,z+1/2'
'y+1/2,-x+1/2,z+1/2'
loop_
_atom_site_label
_atom_site_fract_x
_atom_site_fract_y
_atom_site_fract_z
_atom_site_occupancy
La1 0.000 0.000 0.000 1
Y1 0.050 0.653 0.229 1
Tm1 0.000 0.000 0.455 1
Tm2 0.142 0.768 0.722 1
```

The calculation puts the total moment at 0.0 μB per formula unit.

***

Density functional theory data (GGA-PBE) for a geometry-optimized LaY3Tm7 structure.

CIF file:
```
data_LaY3Tm7
_cell_length_a 6.930
_cell_length_b 5.514
_cell_length_c 9.842
_cell_angle_alpha 90.00
_cell_angle_beta 109.46
_cell_angle_gamma 90.00
_symmetry_space_group_name_H-M 'P 1 2/m 1'
_symmetry_Int_Tables_number 10
loop_
_symmetry_equiv_pos_as_xyz
'x,y,z'
'-x,-y,-z'
'-x,y,-z'
'x,-y,z'
loop_
_atom_site_label
_atom_site_fract_x
_atom_site_fract_y
_atom_site_fract_z
_atom_site_occupancy
La1 0.000 0.000 0.000 1
Y1 0.276 0.500 0.495 1
Y2 0.500 0.000 0.000 1
Tm1 0.000 0.000 0.500 1
Tm2 0.148 0.500 0.791 1
Tm3 0.326 0.500 0.144 1
Tm4 0.427 0.000 0.332 1
```

The calculation puts the total moment at 0.0 μB per formula unit.

***

Density functional theory data (GGA-PBE) for a geometry-optimized La2YTm structure.

CIF file:
```
data_La2YTm
_cell_length_a 3.6468
_cell_length_b 3.6468
_cell_length_c 35.3775
_cell_angle_alpha 90.00
_cell_angle_beta 90.00
_cell_angle_gamma 120.00
_symmetry_space_group_name_H-M 'R 3 m'
_symmetry_Int_Tables_number 160
_symmetry_space_group_name_Hall 'R 3 -2"'
loop_
_atom_site_label
_atom_site_fract_x
_atom_site_fract_y
_atom_site_fract_z
_atom_site_occupancy
La1 0.0000 0.0000 0.0000 1
La2 0.0000 0.0000 0.1680 1
Y1 0.0000 0.0000 0.4165 1
Tm1 0.0000 0.0000 0.5851 1
```

The calculation puts the total moment at 0.0 μB per formula unit.

***

Density functional theory data (GGA-PBE) for a geometry-optimized LaYTm3 structure.

CIF file:
```
data_LaYTm3
_cell_length_a 3.666
_cell_length_b 16.694
_cell_length_c 11.469
_cell_angle_alpha 90.00
_cell_angle_beta 90.00
_cell_angle_gamma 90.00
_symmetry_space_group_name_H-M 'C m c m'
_symmetry_Int_Tables_number 63
_symmetry_space_group_name_Hall '-C 2c 2'
loop_
_atom_site_label
_atom_site_fract_x
_atom_site_fract_y
_atom_site_fract_z
_atom_site_occupancy
La1 0.000 0.192 0.250 1
Y1 0.000 0.484 0.750 1
Tm1 0.000 0.146 0.750 1
Tm2 0.000 0.344 0.004 1
```

The calculation puts the total moment at 0.0 μB per formula unit.

***

| no. | Fermi-level density of states (states/eV/f.u.) | ΔE_f (eV per atom) |
| --- | --- | --- |
| 1 | 21.16 | 0.228 |
| 2 | 6.00 | 0.029 |
| 3 | 14.25 | 0.105 |
| 4 | 18.63 | 0.482 |
| 5 | 15.20 | 0.084 |
| 6 | 10.50 | 0.132 |
| 7 | 11.18 | 0.012 |
| 8 | 15.68 | 0.180 |
| 9 | 14.32 | 0.304 |
| 10 | 18.95 | 0.164 |
| 11 | 6.34 | 0.031 |
| 12 | 8.29 | 0.345 |